(1)
Entry from the Alexandria database: a relaxed structure of CoAsPd (GGA-PBEsol).

Unit cell a=3.6496 b=3.6496 c=6.0361 alpha=90.00 beta=90.00 gamma=90.00
Atoms (fractional coordinates):
As 0.0000 0.5000 0.7678
As 0.5000 0.0000 0.2322
Co 0.0000 0.0000 0.0000
Co 0.5000 0.5000 0.0000
Pd 0.0000 0.5000 0.3647
Pd 0.5000 0.0000 0.6353

Mass density ... 9.9 g/cm3
Formation enthalpy at 0 K ... -0.40 eV per atom
Space group ... P4/nmm (129)


(2)
Entry from the Alexandria database: a relaxed structure of Co2AsPt (GGA-PBEsol).

Unit cell a=3.5221 b=3.7309 c=3.7309 alpha=90.00 beta=90.00 gamma=90.00
Atoms (fractional coordinates):
As 0.5000 0.0000 0.0000
Co 0.0000 0.0000 0.5000
Co 0.0000 0.5000 0.0000
Pt 0.5000 0.5000 0.5000

Mass density ... 13.1 g/cm3
Formation enthalpy at 0 K ... -0.04 eV per atom
Space group ... P4/mmm (123)


(3)
Entry from the Alexandria database: a relaxed structure of Co2AsPt (GGA-PBEsol).

Unit cell a=2.8040 b=2.8038 c=6.2908 alpha=90.00 beta=90.00 gamma=90.00
Atoms (fractional coordinates):
As 0.5000 0.5000 0.5000
Co 0.0000 0.0000 0.7172
Co 0.0000 0.0000 0.2828
Pt 0.5000 0.5000 0.0000

Mass density ... 13.0 g/cm3
Formation enthalpy at 0 K ... -0.01 eV per atom
Space group ... P4/mmm (123)


(4)
Entry from the Alexandria database: a relaxed structure of CoAsPtSe2 (GGA-PBEsol).

Unit cell a=4.5634 b=5.0502 c=5.0502 alpha=90.00 beta=90.00 gamma=90.00
Atoms (fractional coordinates):
As 0.5000 0.0000 0.0000
Co 0.5000 0.5000 0.5000
Se 0.0000 0.0000 0.5000
Se 0.0000 0.5000 0.0000
Pt 0.0000 0.0000 0.0000

Mass density ... 6.9 g/cm3
Space group ... P4/mmm (123)
ΔE_f (raw) ... 1.029 eV per atom


(5)
Entry from the Alexandria database: a relaxed structure of CoAs2PtSe (GGA-PBEsol).

Unit cell a=4.3356 b=4.3356 c=4.7323 alpha=90.00 beta=90.00 gamma=90.00
Atoms (fractional coordinates):
As 0.0000 0.5000 0.0000
As 0.5000 0.0000 0.0000
Co 0.0000 0.0000 0.0000
Se 0.0000 0.0000 0.5000
Pt 0.5000 0.5000 0.5000

Mass density ... 9.0 g/cm3
Space group ... P4/mmm (123)
ΔE_f (raw) ... 0.510 eV per atom


(6)
Entry from the Alexandria database: a relaxed structure of RbScCoAs2 (GGA-PBEsol).

Unit cell a=4.8790 b=5.3323 c=5.3323 alpha=90.00 beta=90.00 gamma=90.00
Atoms (fractional coordinates):
Sc 0.5000 0.0000 0.0000
As 0.0000 0.0000 0.5000
As 0.0000 0.5000 0.0000
Co 0.5000 0.5000 0.5000
Rb 0.0000 0.0000 0.0000

Mass density ... 4.1 g/cm3
Formation enthalpy at 0 K ... 2.15 eV per atom
Space group ... P4/mmm (123)


(7)
Entry from the Alexandria database: a relaxed structure of RbCoSiAs2 (GGA-PBEsol).

Unit cell a=4.5454 b=4.5454 c=5.2009 alpha=90.00 beta=90.00 gamma=90.00
Atoms (fractional coordinates):
As 0.0000 0.5000 0.0000
As 0.5000 0.0000 0.0000
Co 0.0000 0.0000 0.0000
Si 0.5000 0.5000 0.5000
Rb 0.0000 0.0000 0.5000

Mass density ... 5.0 g/cm3
Space group ... P4/mmm (123)
ΔE_f (raw) ... 0.674 eV per atom


(8)
Entry from the Alexandria database: a relaxed structure of Co2ReAs (GGA-PBEsol).

Unit cell a=2.9646 b=4.0818 c=4.7259 alpha=115.61 beta=108.28 gamma=90.00
Atoms (fractional coordinates):
Re 0.5000 0.0000 0.0000
As 0.0000 0.5000 0.0000
Co 0.2704 0.2704 0.5409
Co 0.7296 0.7296 0.4591

Mass density ... 13.0 g/cm3
Formation enthalpy at 0 K ... 0.16 eV per atom
Space group ... Immm (71)


(9)
Entry from the Alexandria database: a relaxed structure of CoReAs (GGA-PBEsol).

Unit cell a=4.0364 b=4.0364 c=4.0364 alpha=60.00 beta=60.00 gamma=60.00
Atoms (fractional coordinates):
Re 0.2500 0.2500 0.2500
As 0.0000 0.0000 0.0000
Co 0.5000 0.5000 0.5000

Mass density ... 11.4 g/cm3
Formation enthalpy at 0 K ... 0.41 eV per atom
Space group ... F-43m (216)


(10)
Entry from the Alexandria database: a relaxed structure of ScCoReAs2 (GGA-PBEsol).

Unit cell a=4.6765 b=4.6765 c=5.0533 alpha=90.00 beta=90.00 gamma=90.00
Atoms (fractional coordinates):
Sc 0.0000 0.0000 0.5000
Re 0.0000 0.0000 0.0000
As 0.0000 0.5000 0.0000
As 0.5000 0.0000 0.0000
Co 0.5000 0.5000 0.5000

Mass density ... 6.6 g/cm3
Formation enthalpy at 0 K ... 0.87 eV per atom
Space group ... P4/mmm (123)


(11)
Entry from the Alexandria database: a relaxed structure of CoAsRh2 (GGA-PBEsol).

Unit cell a=3.8386 b=4.4223 c=3.8386 alpha=64.28 beta=90.00 gamma=115.72
Atoms (fractional coordinates):
Co 0.0000 0.0000 0.0000
As 0.5000 0.0000 0.5000
Rh 0.2500 0.5000 0.2500
Rh 0.7500 0.5000 0.7500

Mass density ... 11.0 g/cm3
Formation enthalpy at 0 K ... -0.13 eV per atom
Space group ... I4/mmm (139)


(12)
Entry from the Alexandria database: a relaxed structure of Co4AsRh (GGA-PBEsol).

Unit cell a=4.6616 b=4.6616 c=4.6616 alpha=60.00 beta=60.00 gamma=60.00
Atoms (fractional coordinates):
As 0.0000 0.0000 0.0000
Co 0.3754 0.3754 0.3754
Co 0.3754 0.3754 0.8739
Co 0.8739 0.3754 0.3754
Co 0.3754 0.8739 0.3754
Rh 0.7500 0.7500 0.7500

Mass density ... 9.6 g/cm3
Formation enthalpy at 0 K ... 0.26 eV per atom
Space group ... F-43m (216)


(13)
Entry from the Alexandria database: a relaxed structure of CoAsRh (GGA-PBEsol).

Unit cell a=3.7401 b=5.8359 c=6.9225 alpha=90.00 beta=90.00 gamma=90.00
Atoms (fractional coordinates):
Co 0.2500 0.8554 0.0615
Co 0.7500 0.1446 0.9385
Co 0.2500 0.3554 0.4385
Co 0.7500 0.6446 0.5615
As 0.2500 0.7379 0.3744
As 0.7500 0.7621 0.8744
As 0.7500 0.2621 0.6256
As 0.2500 0.2379 0.1256
Rh 0.7500 0.5339 0.1711
Rh 0.7500 0.0339 0.3289
Rh 0.2500 0.9661 0.6711
Rh 0.2500 0.4661 0.8289

Mass density ... 10.4 g/cm3
Formation enthalpy at 0 K ... -0.35 eV per atom
Space group ... Pnma (62)


(14)
Entry from the Alexandria database: a relaxed structure of CoAsRh2 (GGA-PBEsol).

Unit cell a=2.7184 b=2.7184 c=8.3397 alpha=90.00 beta=90.00 gamma=118.79
Atoms (fractional coordinates):
Co 0.5000 0.5000 0.2598
As 0.0000 0.0000 0.4901
Rh 0.0000 0.0000 0.0120
Rh 0.5000 0.5000 0.7381

Mass density ... 10.4 g/cm3
Formation enthalpy at 0 K ... 0.29 eV per atom
Space group ... Cmm2 (35)


(15)
Entry from the Alexandria database: a relaxed structure of CoAsRh (GGA-PBEsol).

Unit cell a=3.8926 b=3.8926 c=3.8926 alpha=60.00 beta=60.00 gamma=60.00
Atoms (fractional coordinates):
Rh 0.5000 0.5000 0.5000
As 0.2500 0.2500 0.2500
Co 0.0000 0.0000 0.0000

Mass density ... 9.4 g/cm3
Formation enthalpy at 0 K ... -0.27 eV per atom
Space group ... F-43m (216)


(16)
Entry from the Alexandria database: a relaxed structure of CoAsRh2 (GGA-PBEsol).

Unit cell a=2.7660 b=3.7918 c=5.1910 alpha=90.00 beta=102.29 gamma=90.00
Atoms (fractional coordinates):
Co 0.5000 0.5000 0.5000
As 0.5000 0.5000 0.0000
Rh 0.1115 0.0000 0.7523
Rh 0.8885 0.0000 0.2477

Mass density ... 10.6 g/cm3
Formation enthalpy at 0 K ... -0.03 eV per atom
Space group ... P2/m (10)


(17)
Entry from the Alexandria database: a relaxed structure of Co2AsRu (GGA-PBEsol).

Unit cell a=2.6796 b=3.7454 c=4.9590 alpha=90.00 beta=104.63 gamma=90.00
Atoms (fractional coordinates):
Ru 0.5000 0.5000 0.0000
As 0.5000 0.5000 0.5000
Co 0.8807 0.0000 0.7454
Co 0.1193 0.0000 0.2546

Mass density ... 10.1 g/cm3
Formation enthalpy at 0 K ... 0.10 eV per atom
Space group ... P2/m (10)


(18)
Entry from the Alexandria database: a relaxed structure of CoAsRu (GGA-PBEsol).

Unit cell a=3.9216 b=3.9216 c=3.9216 alpha=60.00 beta=60.00 gamma=60.00
Atoms (fractional coordinates):
Ru 0.0000 0.0000 0.0000
As 0.5000 0.5000 0.5000
Co 0.2500 0.2500 0.2500

Mass density ... 9.1 g/cm3
Formation enthalpy at 0 K ... 0.20 eV per atom
Space group ... F-43m (216)
Energy relative to the lowest polymorph listed for this composition ... 0 meV per atom


(19)
Entry from the Alexandria database: a relaxed structure of CoAsRu2 (GGA-PBEsol).

Unit cell a=2.7537 b=4.7031 c=4.8922 alpha=117.39 beta=104.26 gamma=94.19
Atoms (fractional coordinates):
Ru 0.5000 0.5000 0.5000
Ru 0.0000 0.0000 0.5000
As 0.0000 0.5000 0.0000
Co 0.5000 0.0000 0.0000

Mass density ... 10.5 g/cm3
Formation enthalpy at 0 K ... 0.34 eV per atom
Space group ... C2/m (12)


(20)
Entry from the Alexandria database: a relaxed structure of Co2AsRu (GGA-PBEsol).

Unit cell a=2.7037 b=2.7037 c=6.5477 alpha=90.00 beta=90.00 gamma=90.00
Atoms (fractional coordinates):
Ru 0.5000 0.5000 0.0000
As 0.5000 0.5000 0.5000
Co 0.0000 0.0000 0.7378
Co 0.0000 0.0000 0.2622

Mass density ... 10.2 g/cm3
Formation enthalpy at 0 K ... 0.15 eV per atom
Space group ... P4/mmm (123)